Entry from Alexandria via LeMat-Bulk: crystalline BaCd2P at its relaxed geometry (GGA-PBE).

a = 6.810 Å, b = 6.810 Å, c = 6.810 Å
α = 40.16°, β = 40.16°, γ = 40.16°
Positions (direct):
Ba  0.750  0.750  0.750
Cd  0.966  0.966  0.966
Cd  0.534  0.534  0.534
P  0.250  0.250  0.250

ΔH_f (0 K)	-0.181	eV per atom
volume	29.6	A^3/atom

Entry from Alexandria via LeMat-Bulk: crystalline BaCd3P at its relaxed geometry (GGA-PBE).

a = 6.739 Å, b = 6.739 Å, c = 6.739 Å
α = 90.00°, β = 90.00°, γ = 90.00°
Positions (direct):
P  0.500  0.500  0.500
Ba  0.000  0.000  0.000
Cd  0.000  0.500  0.000
Cd  0.000  0.000  0.500
Cd  0.500  0.000  0.000

ΔH_f (0 K)	1.055	eV per atom
volume	61.2	A^3/atom

Entry from Alexandria via LeMat-Bulk: crystalline BaCdP at its relaxed geometry (GGA-PBE).

a = 7.247 Å, b = 4.465 Å, c = 11.811 Å
α = 90.00°, β = 104.34°, γ = 90.00°
Positions (direct):
Ba  0.638  0.000  0.994
Ba  0.638  0.500  0.494
Ba  0.276  0.000  0.684
Ba  0.276  0.500  0.184
Cd  0.814  0.000  0.715
Cd  0.814  0.500  0.215
Cd  0.977  0.000  0.399
Cd  0.977  0.500  0.899
P  0.163  0.000  0.952
P  0.163  0.500  0.452
P  0.612  0.000  0.285
P  0.612  0.500  0.785

ΔH_f (0 K)	-0.595	eV per atom
volume	30.9	A^3/atom

Entry from Alexandria via LeMat-Bulk: crystalline BaCdP at its relaxed geometry (GGA-PBE).

a = 4.548 Å, b = 4.548 Å, c = 4.871 Å
α = 90.00°, β = 90.00°, γ = 120.00°
Positions (direct):
Ba  0.000  0.000  0.000
Cd  0.667  0.333  0.500
P  0.333  0.667  0.500

ΔH_f (0 K)	-0.555	eV per atom
volume	29.1	A^3/atom

Entry from Alexandria via LeMat-Bulk: crystalline BaCdP2 at its relaxed geometry (GGA-PBE).

a = 3.863 Å, b = 3.863 Å, c = 6.580 Å
α = 90.00°, β = 90.00°, γ = 90.00°
Positions (direct):
Ba  0.500  0.500  0.250
Cd  0.500  0.500  0.750
P  0.000  0.000  0.922
P  0.000  0.000  0.578

ΔH_f (0 K)	-0.189	eV per atom
volume	24.5	A^3/atom

Entry from Alexandria via LeMat-Bulk: crystalline BaCdP4 at its relaxed geometry (GGA-PBE).

a = 5.843 Å, b = 5.843 Å, c = 5.843 Å
α = 60.00°, β = 60.00°, γ = 60.00°
Positions (direct):
Ba  0.750  0.750  0.750
Cd  0.000  0.000  0.000
P  0.952  0.349  0.349
P  0.349  0.349  0.952
P  0.349  0.952  0.349
P  0.349  0.349  0.349

ΔH_f (0 K)	-0.075	eV per atom
volume	23.5	A^3/atom